(1)
The following is a PBE calculation of CuAg after structural relaxation, from OQMD.

Cell lengths 11.169, 8.626, 12.511 Å; angles 90.00, 98.26, 90.00 degrees
Atoms (fractional coordinates):
Cu  0.000  0.000  0.000
Cu  0.000  0.000  0.202
Cu  0.034  0.245  0.895
Cu  0.034  0.755  0.895
Cu  0.045  0.250  0.101
Cu  0.045  0.750  0.101
Cu  0.086  0.500  0.998
Cu  0.092  0.500  0.200
Cu  0.195  0.000  0.918
Cu  0.198  0.000  0.122
Cu  0.239  0.251  0.017
Cu  0.239  0.749  0.017
Cu  0.252  0.250  0.220
Cu  0.252  0.750  0.220
Cu  0.278  0.500  0.920
Cu  0.292  0.500  0.124
Cu  0.394  0.000  0.037
Cu  0.409  0.000  0.241
Cu  0.436  0.250  0.941
Cu  0.436  0.750  0.941
Cu  0.446  0.249  0.144
Cu  0.446  0.751  0.144
Cu  0.488  0.500  0.044
Cu  0.490  0.500  0.245
Cu  0.595  0.000  0.963
Cu  0.601  0.000  0.164
Cu  0.642  0.250  0.064
Cu  0.642  0.750  0.064
Cu  0.649  0.250  0.267
Cu  0.649  0.750  0.267
Cu  0.681  0.500  0.970
Cu  0.693  0.500  0.173
Cu  0.796  0.000  0.082
Cu  0.810  0.000  0.286
Cu  0.842  0.249  0.986
Cu  0.842  0.751  0.986
Cu  0.845  0.251  0.189
Cu  0.845  0.749  0.189
Cu  0.889  0.500  0.297
Cu  0.890  0.500  0.090
Ag  0.019  0.000  0.451
Ag  0.023  0.000  0.755
Ag  0.042  0.247  0.606
Ag  0.042  0.753  0.606
Ag  0.055  0.258  0.320
Ag  0.055  0.742  0.320
Ag  0.063  0.500  0.763
Ag  0.066  0.500  0.468
Ag  0.224  0.000  0.345
Ag  0.224  0.000  0.630
Ag  0.232  0.246  0.791
Ag  0.232  0.754  0.791
Ag  0.252  0.255  0.492
Ag  0.252  0.745  0.492
Ag  0.260  0.500  0.647
Ag  0.279  0.500  0.347
Ag  0.408  0.000  0.813
Ag  0.430  0.000  0.513
Ag  0.439  0.247  0.670
Ag  0.439  0.753  0.670
Ag  0.454  0.253  0.369
Ag  0.454  0.747  0.369
Ag  0.464  0.500  0.527
Ag  0.464  0.500  0.818
Ag  0.618  0.000  0.690
Ag  0.629  0.000  0.395
Ag  0.636  0.249  0.843
Ag  0.636  0.751  0.843
Ag  0.646  0.252  0.549
Ag  0.646  0.748  0.549
Ag  0.661  0.500  0.700
Ag  0.671  0.500  0.400
Ag  0.807  0.000  0.861
Ag  0.827  0.000  0.575
Ag  0.844  0.250  0.423
Ag  0.844  0.250  0.726
Ag  0.844  0.750  0.423
Ag  0.844  0.750  0.726
Ag  0.861  0.500  0.580
Ag  0.868  0.500  0.871

Output
crystal system: monoclinic
E_form: 1.339 kcal/mol of atoms
symmetry: Pm (6)
electronic total energy: -0.2361 Ry/atom


(2)
The following is a PBE calculation of Cu4Ag3 after structural relaxation, from OQMD.

Cell lengths 4.943, 4.943, 7.631 Å; angles 90.55, 90.55, 32.98 degrees
Atoms (fractional coordinates):
Cu  0.168  0.168  0.406
Cu  0.276  0.276  0.862
Cu  0.724  0.724  0.138
Cu  0.832  0.832  0.594
Ag  0.000  0.000  0.000
Ag  0.438  0.438  0.316
Ag  0.562  0.562  0.684

Output
crystal system: monoclinic
E_form: 2.071 kcal/mol of atoms
symmetry: C2/m (12)
electronic total energy: -0.2385 Ry/atom


(3)
The following is a PBE calculation of Cu5Ag3 after structural relaxation, from OQMD.

Cell lengths 8.850, 8.850, 4.791 Å; angles 95.28, 95.28, 17.78 degrees
Atoms (fractional coordinates):
Cu  0.000  0.000  0.000
Cu  0.123  0.123  0.360
Cu  0.381  0.381  0.112
Cu  0.619  0.619  0.888
Cu  0.877  0.877  0.640
Ag  0.247  0.247  0.749
Ag  0.500  0.500  0.500
Ag  0.753  0.753  0.251

Output
crystal system: monoclinic
E_form: 2.614 kcal/mol of atoms
symmetry: C2/m (12)
electronic total energy: -0.2403 Ry/atom